# 1
A plane-wave DFT calculation with PBE-GGA was carried out for crystalline Dy7Y12Zr at its relaxed geometry.

Output
The density of states at the Fermi level is 90.6 states/eV/cell. The value obtained for the raw total energy is -5.62 eV/atom. The value obtained for the calculated density is 5.94 g/cm³. For the formation energy from the elements, the calculation gives 300 meV per atom. The total moment is 0.673 μB per formula unit.

Cell: 16.6445 16.6445 8.0220 Å, 90.00 90.00 120.00°
Last column: nearest neighbours and their distance in Å.
Space group R-3m (No. 166, hexagonal axes)
Inequivalent atoms, fractional coordinates:
Dy (0.0000, 0.0000, 0.0000) (multiplicity 3)  6 Y 3.56, 6 Dy 3.61
Dy (0.1018, 0.2037, 0.2611) (multiplicity 18)  7 Y 3.19-3.56, 1 Zr 3.51
Y (0.0000, 0.2878, 0.5000) (multiplicity 18)  2 Y 2.98, 2 Dy 3.30
Y (0.1070, 0.5535, 0.4907) (multiplicity 18)  1 Y 3.09, 2 Dy 3.19
Zr (0.0000, 0.0000, 0.5000) (multiplicity 3)  6 Dy 3.51

---

# 2
A plane-wave DFT calculation with PBE-GGA was carried out for crystalline Cs2LaSBr6 at its relaxed geometry.

Output
The density of states at the Fermi level is 4.6 states/eV/cell. The uncorrected formation energy comes out at -1.2984 eV/atom. The value obtained for the raw total energy is -3.38 eV/atom. The value obtained for the calculated density is 3.60 g/cm³. The total moment is 1.000 μB per formula unit.

Cell: 7.9435 7.9435 13.4080 Å, 90.00 90.00 90.00°
Last column: nearest neighbours and their distance in Å.
Space group I4/mmm (No. 139)
Inequivalent atoms, fractional coordinates:
Cs (0.0000, 0.5000, 0.2500) (multiplicity 4)  12 Br 4.00-4.37
La (0.0000, 0.0000, 0.0000) (multiplicity 2)  6 Br 2.92
S (0.0000, 0.0000, 0.5000) (multiplicity 2)  4 Br 2.69
Br (0.0000, 0.0000, 0.2178) (multiplicity 4)  1 La 2.92
Br (0.2398, 0.2398, 0.5000) (multiplicity 8)  1 S 2.69, 1 La 2.92